Record 1
First-principles (GGA-PBE) data for crystalline K2RbPtPb at its relaxed geometry, as listed in the Alexandria database.

Unit cell a=6.342 b=6.342 c=5.310 alpha=90.00 beta=90.00 gamma=90.00
Fractional coordinates of all 5 atoms:
Pb 0.000 0.000 0.500
Pt 0.000 0.000 0.000
Rb 0.500 0.500 0.500
K 0.000 0.500 0.000
K 0.500 0.000 0.000

Computed properties:
crystal system	tetragonal
ΔH_f (0 K)	-0.10	eV per atom
size of the total moment	0.000	μB per atom
SG	No. 123
total energy	-13.4	eV/f.u.

Record 2
First-principles (GGA-PBE) data for crystalline ZrTcPt3 at its relaxed geometry, as listed in the Alexandria database.

Unit cell a=4.770 b=4.770 c=4.770 alpha=90.00 beta=90.00 gamma=90.00
Fractional coordinates of all 5 atoms:
Pt 0.500 0.000 0.000
Pt 0.000 0.000 0.500
Pt 0.000 0.500 0.000
Tc 0.000 0.000 0.000
Zr 0.500 0.500 0.500

Computed properties:
crystal system	cubic
ΔH_f (0 K)	0.75	eV per atom
polymorph energy (0 for the lowest one)	0	meV per atom
size of the total moment	0.000	μB per atom
SG	No. 221
total energy	-33.3	eV/f.u.

- What is the total energy in the first record?
  -13.4 eV/f.u.

- Which formula does entry 1 have?
  K2RbPtPb